Entry 1:
! LaPmI5 GGA-PBE relaxed; values from VASP
&SYSTEM
  ibrav = 0, nat = 14, ntyp = 3
/
ATOMIC_SPECIES
La 138.91 La.upf
Pm 145.00 Pm.upf
I 126.90 I.upf
CELL_PARAMETERS angstrom
9.393 0.000 0.000
0.000 4.367 0.000
-1.050 0.000 14.862
ATOMIC_POSITIONS crystal
La 0.101 0.250 0.153
La 0.899 0.750 0.847
Pm 0.414 0.750 0.344
Pm 0.586 0.250 0.656
I 0.069 0.750 0.313
I 0.138 0.250 0.927
I 0.322 0.250 0.486
I 0.351 0.750 0.127
I 0.369 0.750 0.713
I 0.631 0.250 0.287
I 0.649 0.250 0.873
I 0.678 0.750 0.514
I 0.862 0.750 0.073
I 0.931 0.250 0.687
! DOS(E_F) = 1.9 states/eV/f.u.
! Crystal system = monoclinic
! Energy relative to the elements, uncorrected = -1.43 eV/atom
! DFT total energy = -0.14403 hartree per atom

---

Entry 2:
! La2PmI6 GGA-PBE relaxed; values from VASP
&SYSTEM
  ibrav = 0, nat = 9, ntyp = 3
/
ATOMIC_SPECIES
La 138.91 La.upf
Pm 145.00 Pm.upf
I 126.90 I.upf
CELL_PARAMETERS angstrom
8.769 -2.151 0.000
8.769 2.151 0.000
-5.017 0.000 10.567
ATOMIC_POSITIONS crystal
La 0.151 0.151 0.310
La 0.849 0.849 0.690
Pm 0.500 0.500 0.000
I 0.143 0.143 0.036
I 0.194 0.194 0.615
I 0.492 0.492 0.718
I 0.508 0.508 0.282
I 0.806 0.806 0.385
I 0.857 0.857 0.964
! DOS(E_F) = 6.2 states/eV/f.u.
! Crystal system = monoclinic
! Energy relative to the elements, uncorrected = -1.35 eV/atom
! DFT total energy = -0.14739 hartree per atom

---

Entry 3:
! LaPmPtI GGA-PBE relaxed; values from VASP
&SYSTEM
  ibrav = 0, nat = 12, ntyp = 4
/
ATOMIC_SPECIES
La 138.91 La.upf
Pm 145.00 Pm.upf
Pt 195.08 Pt.upf
I 126.90 I.upf
CELL_PARAMETERS angstrom
4.270 0.000 0.000
-2.135 3.698 0.000
0.000 0.000 24.611
ATOMIC_POSITIONS crystal
La 0.000 0.000 0.000
La 0.333 0.667 0.667
La 0.667 0.333 0.333
Pm 0.000 0.000 0.208
Pm 0.333 0.667 0.875
Pm 0.667 0.333 0.542
Pt 0.000 0.000 0.603
Pt 0.333 0.667 0.270
Pt 0.667 0.333 0.936
I 0.000 0.000 0.774
I 0.333 0.667 0.441
I 0.667 0.333 0.107
! DOS(E_F) = 3.7 states/eV/f.u.
! Crystal system = trigonal
! Energy relative to the elements, uncorrected = -1.16 eV/atom
! DFT total energy = -0.20133 hartree per atom

---

Entry 4:
! LaPmRhI GGA-PBE relaxed; values from VASP
&SYSTEM
  ibrav = 0, nat = 12, ntyp = 4
/
ATOMIC_SPECIES
La 138.91 La.upf
Pm 145.00 Pm.upf
Rh 102.91 Rh.upf
I 126.90 I.upf
CELL_PARAMETERS angstrom
4.178 0.000 0.000
-2.089 3.619 0.000
0.000 0.000 24.762
ATOMIC_POSITIONS crystal
La 0.000 0.000 0.000
La 0.333 0.667 0.667
La 0.667 0.333 0.333
Pm 0.000 0.000 0.790
Pm 0.333 0.667 0.457
Pm 0.667 0.333 0.123
Rh 0.000 0.000 0.395
Rh 0.333 0.667 0.062
Rh 0.667 0.333 0.728
I 0.000 0.000 0.224
I 0.333 0.667 0.891
I 0.667 0.333 0.558
! DOS(E_F) = 0.9 states/eV/f.u.
! Crystal system = trigonal
! Energy relative to the elements, uncorrected = -0.99 eV/atom
! DFT total energy = -0.20720 hartree per atom

---

- What is the formula in the first record?
  LaPmI5

---

- Which value of energy relative to the elements, uncorrected does entry 1 give?
  -1.43 eV/atom

---

- Which of these has the lowest DFT total energy?
  LaPmRhI